No. 1
PBE Li2La2NdPb2, optimized geometry; space-group type = No. 166; energy relative to the elements = -0.3803 eV/atom
1.0
-0.341 3.278 -3.607
-4.084 0.282 -2.667
-4.993 7.481 3.962
Li La Nd Pb
2 2 1 2
Cartesian
-3.703 3.720 -2.887
-5.716 7.321 0.576
-3.578 4.948 1.527
-5.841 6.093 -3.838
0.000 0.000 0.000
-7.235 8.587 -1.439
-2.184 2.455 -0.872



No. 2
PBE LiLaNdPd, optimized geometry; space-group type = No. 216; energy relative to the elements = -0.3069 eV/atom
1.0
5.238 0.000 0.000
2.619 4.537 0.000
2.619 1.512 4.277
Li Nd Pd La
1 1 1 1
Cartesian
5.238 3.024 2.139
7.858 4.537 3.208
0.000 0.000 0.000
2.619 1.512 1.069



No. 3
PBE LiLaPmNd, optimized geometry; space-group type = No. 216; energy relative to the elements = 0.1706 eV/atom
1.0
5.686 0.000 0.000
2.843 4.924 0.000
2.843 1.641 4.642
La Nd Li Pm
1 1 1 1
Cartesian
2.843 1.641 1.161
8.528 4.924 3.482
0.000 0.000 0.000
5.686 3.283 2.321



No. 4
PBE LiLaNdPt, optimized geometry; space-group type = No. 216; energy relative to the elements = -0.5158 eV/atom
1.0
5.198 0.000 0.000
2.599 4.502 0.000
2.599 1.501 4.244
Li Nd Pt La
1 1 1 1
Cartesian
7.798 4.502 3.183
5.198 3.001 2.122
2.599 1.501 1.061
0.000 0.000 0.000



Energy readings, ordered: -4.08, -4.51, -3.92, -4.93 eV per atom